# BeRuSCl2

Crystalline BeRuSCl2 at its relaxed geometry (PBEsol, the Alexandria database).

Properties
Energy relative to the elements, uncorrected ... 0.38 eV per atom
Crystal system ... tetragonal
Fermi-level density of states ... 5.3 states/eV per cell

The structure in CIF format:
```
data_BeRuSCl2
_cell_length_a 4.124
_cell_length_b 4.124
_cell_length_c 4.912
_cell_angle_alpha 90.00
_cell_angle_beta 90.00
_cell_angle_gamma 90.00
_symmetry_space_group_name_H-M 'P 1'
_symmetry_Int_Tables_number 1
_symmetry_space_group_name_Hall 'P 1'
loop_
_atom_site_label
_atom_site_type_symbol
_atom_site_fract_x
_atom_site_fract_y
_atom_site_fract_z
Ru1 Ru 0.500 0.500 0.500
S1 S 0.000 0.000 0.500
Be1 Be 0.000 0.000 0.000
Cl1 Cl 0.000 0.500 0.000
Cl2 Cl 0.500 0.000 0.000
```